No. 1
NbInFePb2: optimized geometry, PBE-GGA.

```
data_NbInFePb2
_cell_length_a 5.563
_cell_length_b 5.563
_cell_length_c 5.344
_cell_angle_alpha 90.00
_cell_angle_beta 90.00
_cell_angle_gamma 90.00
_symmetry_space_group_name_H-M 'P 4/m m m'
_symmetry_Int_Tables_number 123
_symmetry_space_group_name_Hall '-P 4 2'
loop_
_atom_site_label
_atom_site_type_symbol
_atom_site_fract_x
_atom_site_fract_y
_atom_site_fract_z
_atom_site_occupancy
Nb1 Nb 0.000 0.000 0.000 1
In1 In 0.000 0.000 0.500 1
Fe1 Fe 0.500 0.500 0.000 1
Pb1 Pb 0.000 0.500 0.500 1
```

## Properties
E = -4.0264 eV per atom
density = 6.81 g/cm3
calculated formation energy = 1.711 eV per atom
crystal system = tetragonal

No. 2
NbIn2FePt: optimized geometry, PBE-GGA.

```
data_NbIn2FePt
_cell_length_a 5.340
_cell_length_b 5.340
_cell_length_c 4.393
_cell_angle_alpha 90.00
_cell_angle_beta 90.00
_cell_angle_gamma 90.00
_symmetry_space_group_name_H-M 'P 4/m m m'
_symmetry_Int_Tables_number 123
_symmetry_space_group_name_Hall '-P 4 2'
loop_
_atom_site_label
_atom_site_type_symbol
_atom_site_fract_x
_atom_site_fract_y
_atom_site_fract_z
_atom_site_occupancy
Nb1 Nb 0.000 0.000 0.000 1
In1 In 0.000 0.500 0.000 1
Fe1 Fe 0.000 0.000 0.500 1
Pt1 Pt 0.500 0.500 0.500 1
```

## Properties
E = -4.7528 eV per atom
density = 7.60 g/cm3
calculated formation energy = 1.257 eV per atom
crystal system = tetragonal

No. 3
Nb2In2FeS6: optimized geometry, PBE-GGA.

```
data_Nb2In2FeS6
_cell_length_a 5.750
_cell_length_b 10.481
_cell_length_c 8.011
_cell_angle_alpha 90.00
_cell_angle_beta 104.76
_cell_angle_gamma 90.00
_symmetry_space_group_name_H-M 'C 1 2/m 1'
_symmetry_Int_Tables_number 12
loop_
_symmetry_equiv_pos_as_xyz
'x,y,z'
'-x,-y,-z'
'-x,y,-z'
'x,-y,z'
'x+1/2,y+1/2,z'
'-x+1/2,-y+1/2,-z'
'-x+1/2,y+1/2,-z'
'x+1/2,-y+1/2,z'
loop_
_atom_site_label
_atom_site_type_symbol
_atom_site_fract_x
_atom_site_fract_y
_atom_site_fract_z
_atom_site_occupancy
Nb1 Nb 0.000 0.142 0.000 1
In1 In 0.000 0.315 0.500 1
Fe1 Fe 0.000 0.500 0.000 1
S1 S 0.210 0.337 0.176 1
S2 S 0.232 0.500 0.794 1
```

## Properties
E = -5.9802 eV per atom
density = 4.72 g/cm3
ΔE_f (raw) = -631 meV/atom
crystal system = monoclinic